No. 1
{
  "formula": "Y2PuGa",
  "functional": "PBE",
  "state": "optimized geometry",
  "cell": [[3.487, 0.000, 0.000], [0.000, 3.487, 0.000], [0.000, 0.000, 8.744]],
  "species": ["Y", "Y", "Pu", "Ga"],
  "fractional_positions": [[0.000, 0.000, 0.213], [0.000, 0.000, 0.787], [0.500, 0.500, 0.500], [0.500, 0.500, 0.000]],
  "delta_e_f_mev_per_atom": -203,
  "polymorph_energy_ev_per_fu": 0.00,
  "sg": "No. 123"
}

=====

No. 2
{
  "formula": "PuZnGa3",
  "functional": "PBE",
  "state": "optimized geometry",
  "cell": [[2.987, -2.987, 0.000], [2.987, 2.987, 0.000], [-2.970, 0.000, 5.364]],
  "species": ["Pu", "Zn", "Ga", "Ga", "Ga"],
  "fractional_positions": [[0.000, 0.000, 0.000], [0.619, 0.619, 0.239], [0.250, 0.752, 0.502], [0.396, 0.396, 0.791], [0.752, 0.250, 0.502]],
  "delta_e_f_mev_per_atom": -279,
  "sg": "No. 8"
}

=====

No. 3
{
  "formula": "PuZn2Ga",
  "functional": "PBE",
  "state": "optimized geometry",
  "cell": [[6.477, 0.000, 0.000], [0.000, 2.282, 5.136], [0.000, -2.282, 5.136]],
  "species": ["Pu", "Pu", "Zn", "Zn", "Zn", "Zn", "Ga", "Ga"],
  "fractional_positions": [[0.000, 0.000, 0.000], [0.500, 0.188, 0.188], [0.000, 0.297, 0.297], [0.306, 0.470, 0.470], [0.500, 0.892, 0.892], [0.694, 0.470, 0.470], [0.199, 0.712, 0.712], [0.801, 0.712, 0.712]],
  "delta_e_f_mev_per_atom": -206,
  "sg": "No. 38"
}